(1)
DFT (GGA-PBE) results for a relaxed LiHfIr crystal.

Cell and atoms, written as CIF:
```
data_LiHfIr
_chemical_formula_sum 'Li4 Hf4 Ir4'
_symmetry_space_group_name_H-M 'F -4 3 m'
_symmetry_Int_Tables_number 216
_symmetry_space_group_name_Hall 'F -4 2 3'
_cell_length_a 5.775
_cell_length_b 5.775
_cell_length_c 5.775
_cell_angle_alpha 90.00
_cell_angle_beta 90.00
_cell_angle_gamma 90.00
loop_
_atom_site_label
_atom_site_type_symbol
_atom_site_fract_x
_atom_site_fract_y
_atom_site_fract_z
Li1 Li 0.000 0.000 0.000
Hf1 Hf 0.250 0.250 0.750
Ir1 Ir 0.250 0.250 0.250
```

(2)
DFT (GGA-PBE) results for a relaxed LiHf2Ir crystal.

Cell and atoms, written as CIF:
```
data_LiHf2Ir
_chemical_formula_sum 'Li4 Hf8 Ir4'
_symmetry_space_group_name_H-M 'F -4 3 m'
_symmetry_Int_Tables_number 216
_symmetry_space_group_name_Hall 'F -4 2 3'
_cell_length_a 6.465
_cell_length_b 6.465
_cell_length_c 6.465
_cell_angle_alpha 90.00
_cell_angle_beta 90.00
_cell_angle_gamma 90.00
loop_
_atom_site_label
_atom_site_type_symbol
_atom_site_fract_x
_atom_site_fract_y
_atom_site_fract_z
Li1 Li 0.000 0.000 0.000
Hf1 Hf 0.000 0.000 0.500
Hf2 Hf 0.250 0.250 0.750
Ir1 Ir 0.250 0.250 0.250
```

(3)
DFT (GGA-PBE) results for a relaxed Li2HfMgSn2Ir2 crystal.

Cell and atoms, written as CIF:
```
data_Li2HfMgSn2Ir2
_chemical_formula_sum 'Li2 Hf1 Mg1 Sn2 Ir2'
_symmetry_space_group_name_H-M 'P -4 m 2'
_symmetry_Int_Tables_number 115
_cell_length_a 4.551
_cell_length_b 4.551
_cell_length_c 6.504
_cell_angle_alpha 90.00
_cell_angle_beta 90.00
_cell_angle_gamma 90.00
loop_
_symmetry_equiv_pos_as_xyz
'x,y,z'
'y,-x,-z'
'-x,-y,z'
'-y,x,-z'
'-x,y,z'
'-y,-x,-z'
'x,-y,z'
'y,x,-z'
loop_
_atom_site_label
_atom_site_type_symbol
_atom_site_fract_x
_atom_site_fract_y
_atom_site_fract_z
Li1 Li 0.000 0.500 0.233
Hf1 Hf 0.000 0.000 0.500
Mg1 Mg 0.500 0.500 0.000
Sn1 Sn 0.000 0.000 0.000
Sn2 Sn 0.500 0.500 0.500
Ir1 Ir 0.000 0.500 0.736
```

(4)
DFT (GGA-PBE) results for a relaxed Li4HfIrO6 crystal.

Cell and atoms, written as CIF:
```
data_Li4HfIrO6
_chemical_formula_sum 'Li8 Hf2 Ir2 O12'
_symmetry_space_group_name_H-M 'C 1 2 1'
_symmetry_Int_Tables_number 5
_cell_length_a 5.151
_cell_length_b 8.898
_cell_length_c 5.198
_cell_angle_alpha 90.00
_cell_angle_beta 109.15
_cell_angle_gamma 90.00
loop_
_symmetry_equiv_pos_as_xyz
'x,y,z'
'-x,y,-z'
'x+1/2,y+1/2,z'
'-x+1/2,y+1/2,-z'
loop_
_atom_site_label
_atom_site_type_symbol
_atom_site_fract_x
_atom_site_fract_y
_atom_site_fract_z
Li1 Li 0.000 0.000 0.000
Li2 Li 0.000 0.154 0.500
Li3 Li 0.000 0.314 0.000
Li4 Li 0.000 0.641 0.000
Hf1 Hf 0.000 0.818 0.500
Ir1 Ir 0.000 0.487 0.500
O1 O 0.241 0.651 0.745
O2 O 0.245 0.484 0.261
O3 O 0.247 0.326 0.742
```

(5)
DFT (GGA-PBE) results for a relaxed LiHfIrPb crystal.

Cell and atoms, written as CIF:
```
data_LiHfIrPb
_chemical_formula_sum 'Li4 Hf4 Ir4 Pb4'
_symmetry_space_group_name_H-M 'F -4 3 m'
_symmetry_Int_Tables_number 216
_symmetry_space_group_name_Hall 'F -4 2 3'
_cell_length_a 6.545
_cell_length_b 6.545
_cell_length_c 6.545
_cell_angle_alpha 90.00
_cell_angle_beta 90.00
_cell_angle_gamma 90.00
loop_
_atom_site_label
_atom_site_type_symbol
_atom_site_fract_x
_atom_site_fract_y
_atom_site_fract_z
Li1 Li 0.000 0.000 0.000
Hf1 Hf 0.250 0.250 0.750
Ir1 Ir 0.000 0.000 0.500
Pb1 Pb 0.250 0.250 0.250
```

(6)
DFT (GGA-PBE) results for a relaxed LiHfIrPb crystal.

Cell and atoms, written as CIF:
```
data_LiHfIrPb
_chemical_formula_sum 'Li4 Hf4 Ir4 Pb4'
_symmetry_space_group_name_H-M 'F -4 3 m'
_symmetry_Int_Tables_number 216
_symmetry_space_group_name_Hall 'F -4 2 3'
_cell_length_a 6.642
_cell_length_b 6.642
_cell_length_c 6.642
_cell_angle_alpha 90.00
_cell_angle_beta 90.00
_cell_angle_gamma 90.00
loop_
_atom_site_label
_atom_site_type_symbol
_atom_site_fract_x
_atom_site_fract_y
_atom_site_fract_z
Li1 Li 0.000 0.000 0.000
Hf1 Hf 0.000 0.000 0.500
Ir1 Ir 0.250 0.250 0.750
Pb1 Pb 0.250 0.250 0.250
```

(7)
DFT (GGA-PBE) results for a relaxed LiHfIrPb crystal.

Cell and atoms, written as CIF:
```
data_LiHfIrPb
_chemical_formula_sum 'Li4 Hf4 Ir4 Pb4'
_symmetry_space_group_name_H-M 'F -4 3 m'
_symmetry_Int_Tables_number 216
_symmetry_space_group_name_Hall 'F -4 2 3'
_cell_length_a 6.582
_cell_length_b 6.582
_cell_length_c 6.582
_cell_angle_alpha 90.00
_cell_angle_beta 90.00
_cell_angle_gamma 90.00
loop_
_atom_site_label
_atom_site_type_symbol
_atom_site_fract_x
_atom_site_fract_y
_atom_site_fract_z
Li1 Li 0.000 0.000 0.000
Hf1 Hf 0.250 0.250 0.250
Ir1 Ir 0.250 0.250 0.750
Pb1 Pb 0.000 0.000 0.500
```

(8)
DFT (GGA-PBE) results for a relaxed Li2HfZrIr2Pb2 crystal.

Cell and atoms, written as CIF:
```
data_Li2HfZrIr2Pb2
_chemical_formula_sum 'Li2 Hf1 Zr1 Ir2 Pb2'
_symmetry_space_group_name_H-M 'P -4 m 2'
_symmetry_Int_Tables_number 115
_cell_length_a 4.639
_cell_length_b 4.639
_cell_length_c 6.562
_cell_angle_alpha 90.00
_cell_angle_beta 90.00
_cell_angle_gamma 90.00
loop_
_symmetry_equiv_pos_as_xyz
'x,y,z'
'y,-x,-z'
'-x,-y,z'
'-y,x,-z'
'-x,y,z'
'-y,-x,-z'
'x,-y,z'
'y,x,-z'
loop_
_atom_site_label
_atom_site_type_symbol
_atom_site_fract_x
_atom_site_fract_y
_atom_site_fract_z
Li1 Li 0.000 0.500 0.250
Hf1 Hf 0.000 0.000 0.500
Zr1 Zr 0.500 0.500 0.000
Ir1 Ir 0.000 0.500 0.747
Pb1 Pb 0.000 0.000 0.000
Pb2 Pb 0.500 0.500 0.500
```

(9)
DFT (GGA-PBE) results for a relaxed LiHfSiIr crystal.

Cell and atoms, written as CIF:
```
data_LiHfSiIr
_chemical_formula_sum 'Li4 Hf4 Si4 Ir4'
_symmetry_space_group_name_H-M 'F -4 3 m'
_symmetry_Int_Tables_number 216
_symmetry_space_group_name_Hall 'F -4 2 3'
_cell_length_a 6.262
_cell_length_b 6.262
_cell_length_c 6.262
_cell_angle_alpha 90.00
_cell_angle_beta 90.00
_cell_angle_gamma 90.00
loop_
_atom_site_label
_atom_site_type_symbol
_atom_site_fract_x
_atom_site_fract_y
_atom_site_fract_z
Li1 Li 0.000 0.000 0.000
Hf1 Hf 0.000 0.000 0.500
Si1 Si 0.250 0.250 0.250
Ir1 Ir 0.250 0.250 0.750
```

(10)
DFT (GGA-PBE) results for a relaxed LiHfSiIr crystal.

Cell and atoms, written as CIF:
```
data_LiHfSiIr
_chemical_formula_sum 'Li4 Hf4 Si4 Ir4'
_symmetry_space_group_name_H-M 'F -4 3 m'
_symmetry_Int_Tables_number 216
_symmetry_space_group_name_Hall 'F -4 2 3'
_cell_length_a 6.169
_cell_length_b 6.169
_cell_length_c 6.169
_cell_angle_alpha 90.00
_cell_angle_beta 90.00
_cell_angle_gamma 90.00
loop_
_atom_site_label
_atom_site_type_symbol
_atom_site_fract_x
_atom_site_fract_y
_atom_site_fract_z
Li1 Li 0.000 0.000 0.000
Hf1 Hf 0.250 0.250 0.750
Si1 Si 0.250 0.250 0.250
Ir1 Ir 0.000 0.000 0.500
```

(11)
DFT (GGA-PBE) results for a relaxed LiHfSiIr crystal.

Cell and atoms, written as CIF:
```
data_LiHfSiIr
_chemical_formula_sum 'Li4 Hf4 Si4 Ir4'
_symmetry_space_group_name_H-M 'F -4 3 m'
_symmetry_Int_Tables_number 216
_symmetry_space_group_name_Hall 'F -4 2 3'
_cell_length_a 6.126
_cell_length_b 6.126
_cell_length_c 6.126
_cell_angle_alpha 90.00
_cell_angle_beta 90.00
_cell_angle_gamma 90.00
loop_
_atom_site_label
_atom_site_type_symbol
_atom_site_fract_x
_atom_site_fract_y
_atom_site_fract_z
Li1 Li 0.000 0.000 0.000
Hf1 Hf 0.250 0.250 0.250
Si1 Si 0.000 0.000 0.500
Ir1 Ir 0.250 0.250 0.750
```

(12)
DFT (GGA-PBE) results for a relaxed Li2Hf2SiSnIr2 crystal.

Cell and atoms, written as CIF:
```
data_Li2Hf2SiSnIr2
_chemical_formula_sum 'Li2 Hf2 Si1 Sn1 Ir2'
_symmetry_space_group_name_H-M 'P -4 m 2'
_symmetry_Int_Tables_number 115
_cell_length_a 4.448
_cell_length_b 4.448
_cell_length_c 6.350
_cell_angle_alpha 90.00
_cell_angle_beta 90.00
_cell_angle_gamma 90.00
loop_
_symmetry_equiv_pos_as_xyz
'x,y,z'
'y,-x,-z'
'-x,-y,z'
'-y,x,-z'
'-x,y,z'
'-y,-x,-z'
'x,-y,z'
'y,x,-z'
loop_
_atom_site_label
_atom_site_type_symbol
_atom_site_fract_x
_atom_site_fract_y
_atom_site_fract_z
Li1 Li 0.000 0.500 0.233
Hf1 Hf 0.000 0.000 0.000
Hf2 Hf 0.500 0.500 0.500
Si1 Si 0.500 0.500 0.000
Sn1 Sn 0.000 0.000 0.500
Ir1 Ir 0.000 0.500 0.764
```

(13)
DFT (GGA-PBE) results for a relaxed LiHfSnIr crystal.

Cell and atoms, written as CIF:
```
data_LiHfSnIr
_chemical_formula_sum 'Li4 Hf4 Sn4 Ir4'
_symmetry_space_group_name_H-M 'F -4 3 m'
_symmetry_Int_Tables_number 216
_symmetry_space_group_name_Hall 'F -4 2 3'
_cell_length_a 6.546
_cell_length_b 6.546
_cell_length_c 6.546
_cell_angle_alpha 90.00
_cell_angle_beta 90.00
_cell_angle_gamma 90.00
loop_
_atom_site_label
_atom_site_type_symbol
_atom_site_fract_x
_atom_site_fract_y
_atom_site_fract_z
Li1 Li 0.000 0.000 0.000
Hf1 Hf 0.000 0.000 0.500
Sn1 Sn 0.250 0.250 0.250
Ir1 Ir 0.250 0.250 0.750
```

(14)
DFT (GGA-PBE) results for a relaxed LiHfSnIr crystal.

Cell and atoms, written as CIF:
```
data_LiHfSnIr
_chemical_formula_sum 'Li4 Hf4 Sn4 Ir4'
_symmetry_space_group_name_H-M 'F -4 3 m'
_symmetry_Int_Tables_number 216
_symmetry_space_group_name_Hall 'F -4 2 3'
_cell_length_a 6.451
_cell_length_b 6.451
_cell_length_c 6.451
_cell_angle_alpha 90.00
_cell_angle_beta 90.00
_cell_angle_gamma 90.00
loop_
_atom_site_label
_atom_site_type_symbol
_atom_site_fract_x
_atom_site_fract_y
_atom_site_fract_z
Li1 Li 0.000 0.000 0.000
Hf1 Hf 0.250 0.250 0.750
Sn1 Sn 0.250 0.250 0.250
Ir1 Ir 0.000 0.000 0.500
```

no.,total DFT energy (no corrections) (eV/atom)
1,-6.929
2,-7.825
3,-5.714
4,-6.745
5,-6.566
6,-6.324
7,-6.044
8,-6.411
9,-7.037
10,-7.344
11,-7.022
12,-7.119
13,-6.591
14,-6.925